1.
Material: La2Pd2Cl
Method: DFT, PBE
State: relaxed

```
10
Lattice="-2.727 2.234 7.474 6.249 -4.113 3.510 2.081 3.036 -0.148" Properties=species:S:1:pos:R:3 pbc="T T T"
Pd 2.047 -1.295 2.231
Pd -0.941 0.891 5.056
Pd 1.475 -0.585 8.753
Pd 4.463 -2.771 5.928
Cl 0.000 0.000 0.000
Cl 1.761 -0.940 5.492
La 4.348 -0.363 7.870
La 0.819 2.026 7.224
La 4.784 -0.869 3.612
La 1.255 1.519 2.966
```

Output
E_form (uncorrected): -0.967 eV per atom
N(E_F): 0.70 states/eV/atom
Offset from the most stable computed form: 141 meV/atom
Raw total energy: -5.38 eV/atom
M_tot: 0.00 μB per cell



2.
Material: Ce2SnAs
Method: DFT, PBE
State: relaxed

```
4
Lattice="4.097 0.000 0.000 2.049 3.548 0.000 2.049 1.183 8.127" Properties=species:S:1:pos:R:3 pbc="T T T"
Ce 2.049 1.183 6.378
Ce 2.049 1.183 1.753
Sn 4.097 2.366 4.084
As 6.146 3.548 8.104
```

Output
N(E_F): 2.93 states/eV/atom
Offset from the most stable computed form: 89 meV/atom
Raw total energy: -5.97 eV/atom
M_tot: 2.10 μB per cell
ΔE_f: -0.837 eV/atom